Mo3SeF | PBE+U | optimized geometry

The calculation puts the energy at -22.25 eV per formula unit. For the density of states at the Fermi level, the calculation gives 0.7 states/eV per cell. For the energy above the most stable polymorph in this dataset, the calculation gives 0.0 meV per atom.

It has space group Pm-3m (No. 221), with a = 5.364 Å, b = 5.364 Å, c = 5.364 Å, α = 90.00°, β = 90.00° and γ = 90.00°. The asymmetric unit holds Mo at (0.000, 0.000, 0.500), Se at (0.000, 0.000, 0.000) and F at (0.500, 0.500, 0.500).


Mo2SeF | PBE+U | optimized geometry

The calculation puts the energy at -19.41 eV per formula unit. For the density of states at the Fermi level, the calculation gives 7.8 states/eV per cell. For the energy above the most stable polymorph in this dataset, the calculation gives 102.5 meV per atom.

It has space group Fm-3m (No. 225), with a = 6.771 Å, b = 6.771 Å, c = 6.771 Å, α = 90.00°, β = 90.00° and γ = 90.00°. The asymmetric unit holds Mo at (0.250, 0.250, 0.250), Se at (0.000, 0.000, 0.000) and F at (0.000, 0.000, 0.500).


MoSeF3 | PBE+U | optimized geometry

The calculation puts the energy at -18.70 eV per formula unit. For the density of states at the Fermi level, the calculation gives 1.6 states/eV per cell. For the energy above the most stable polymorph in this dataset, the calculation gives 925.9 meV per atom.

It has space group Pm-3m (No. 221), with a = 4.470 Å, b = 4.470 Å, c = 4.470 Å, α = 90.00°, β = 90.00° and γ = 90.00°. The asymmetric unit holds Mo at (0.000, 0.000, 0.000), Se at (0.500, 0.500, 0.500) and F at (0.000, 0.500, 0.500).


MoSeF3 | PBE+U | optimized geometry

The calculation puts the energy at -23.33 eV per formula unit. For the density of states at the Fermi level, the calculation gives 1.9 states/eV per cell. For the energy above the most stable polymorph in this dataset, the calculation gives 0.0 meV per atom.

It has space group Pm-3m (No. 221), with a = 4.309 Å, b = 4.309 Å, c = 4.309 Å, α = 90.00°, β = 90.00° and γ = 90.00°. The asymmetric unit holds Mo at (0.000, 0.000, 0.000), Se at (0.500, 0.500, 0.500) and F at (0.000, 0.000, 0.500).


MoSe2F5 | PBE+U | optimized geometry

The calculation puts the energy at -37.16 eV per formula unit. For the density of states at the Fermi level, the calculation gives 3.2 states/eV per cell.

It has space group P1 (No. 1), with a = 4.094 Å, b = 6.550 Å, c = 6.582 Å, α = 84.71°, β = 74.80° and γ = 74.90°. The asymmetric unit holds Mo at (0.000, 0.000, 0.000), Se at (0.278, 0.429, 0.427), Se at (0.717, 0.570, 0.572), F at (0.128, 0.694, 0.012), F at (0.133, 0.000, 0.695), F at (0.500, 0.000, 0.000), F at (0.867, 0.000, 0.305) and F at (0.872, 0.306, 0.988).


Mo2SeF | PBE+U | optimized geometry

The calculation puts the energy at -19.82 eV per formula unit. For the density of states at the Fermi level, the calculation gives 5.3 states/eV per cell. For the energy above the most stable polymorph in this dataset, the calculation gives 0.0 meV per atom.

It has space group I-42d (No. 122), with a = 6.914 Å, b = 6.914 Å, c = 7.222 Å, α = 90.00°, β = 90.00° and γ = 90.00°. The asymmetric unit holds Mo at (0.218, 0.750, 0.125), Se at (0.000, 0.000, 0.500) and F at (0.000, 0.000, 0.000).